Ba2ZnTe | PBE | optimized geometry

The energy comes out at -2.733 eV per atom. The volume is 44.4 A^3/atom. Its uncorrected formation energy is -2.7 eV/f.u.

The space group is I-42d (No. 122) and the conventional cell measures 9.001, 9.001 and 8.768 Å, with angles of 90.00, 90.00 and 90.00 degrees. The asymmetric unit holds Ba at (0.245, 0.750, 0.125), Zn at (0.000, 0.000, 0.000) and Te at (0.000, 0.000, 0.500).